1.
{
  "formula": "KTeF5",
  "functional": "PBE",
  "state": "relaxed",
  "rho_g_cm3": 2.98,
  "dos_at_fermi_per_ev_atom": 0.000,
  "magnetic_moment_mub_per_fu": 0.000,
  "space_group": "Imma",
  "lattice_angstrom": [[-5.9167, 4.1193, 0.8053], [1.9178, -3.8276, 5.8562], [1.3152, 4.9794, 5.1088]],
  "species": ["F", "F", "F", "F", "F", "F", "F", "F", "F", "F", "K", "K", "Te", "Te"],
  "frac_coords": [[0.7346, 0.7346, 0.0000], [0.2500, 0.0702, 0.6798], [0.9365, 0.2216, 0.8420], [0.2346, 0.7346, 0.5000], [0.7500, 0.9298, 0.3202], [0.0635, 0.7784, 0.1580], [0.7654, 0.2654, 0.5000], [0.2654, 0.2654, 0.0000], [0.4365, 0.7784, 0.7851], [0.5635, 0.2216, 0.2149], [0.7500, 0.4647, 0.7853], [0.2500, 0.5353, 0.2147], [0.5000, 0.0000, 0.5000], [0.0000, 0.0000, 0.0000]]
}


2.
{
  "formula": "KTeF5",
  "functional": "PBE",
  "state": "relaxed",
  "rho_g_cm3": 3.29,
  "dos_at_fermi_per_ev_atom": 0.000,
  "magnetic_moment_mub_per_fu": 0.000,
  "space_group": "Pbcm",
  "lattice_angstrom": [[-2.4254, 2.4300, -3.5095], [5.7473, -3.6152, -6.4751], [-7.0791, -8.9354, -1.2946]],
  "species": ["F", "F", "F", "F", "F", "F", "F", "F", "F", "F", "F", "F", "F", "F", "F", "F", "F", "F", "F", "F", "K", "K", "K", "K", "Te", "Te", "Te", "Te"],
  "frac_coords": [[0.9689, 0.3132, 0.6257], [0.3799, 0.9896, 0.3734], [0.6201, 0.4896, 0.1266], [0.9689, 0.1868, 0.3743], [0.9689, 0.3132, 0.8743], [0.6201, 0.4896, 0.3734], [0.3799, 0.9896, 0.1266], [0.0311, 0.8132, 0.8743], [0.0311, 0.6868, 0.3743], [0.6201, 0.0104, 0.8734], [0.0311, 0.8132, 0.6257], [0.6122, 0.7123, 0.2500], [0.3878, 0.2877, 0.7500], [0.9689, 0.1868, 0.1257], [0.6201, 0.0104, 0.6266], [0.3799, 0.5104, 0.6266], [0.3878, 0.2123, 0.2500], [0.6122, 0.7877, 0.7500], [0.0311, 0.6868, 0.1257], [0.3799, 0.5104, 0.8734], [0.5067, 0.2500, 0.0000], [0.5067, 0.2500, 0.5000], [0.4933, 0.7500, 0.5000], [0.4933, 0.7500, 0.0000], [0.8758, 0.5608, 0.2500], [0.8758, 0.9392, 0.7500], [0.1242, 0.0608, 0.2500], [0.1242, 0.4392, 0.7500]]
}


Quick look at relative energies in meV/atom: 1 113; 2 0.


1.
{
  "formula": "KTeF3",
  "functional": "PBE",
  "state": "relaxed",
  "rho_g_cm3": 3.44,
  "dos_at_fermi_per_ev_atom": 0.288,
  "magnetic_moment_mub_per_fu": 0.000,
  "space_group": "Pm-3m",
  "lattice_angstrom": [[-3.0711, -2.9263, 2.1588], [3.4099, -3.2991, 0.3789], [1.2634, 1.7910, 4.2251]],
  "species": ["K", "F", "F", "F", "Te"],
  "frac_coords": [[0.5000, 0.5000, 0.5000], [0.5000, 0.0000, 0.0000], [0.0000, 0.0000, 0.5000], [0.0000, 0.5000, 0.0000], [0.0000, 0.0000, 0.0000]]
}


2.
{
  "formula": "KTeF3",
  "functional": "PBE",
  "state": "relaxed",
  "rho_g_cm3": 3.51,
  "dos_at_fermi_per_ev_atom": 1.351,
  "magnetic_moment_mub_per_fu": 2.000,
  "space_group": "Pm-3m",
  "lattice_angstrom": [[-1.7599, -4.2408, 1.1437], [0.0677, -1.2581, -4.5610], [4.3918, -1.6800, 0.5286]],
  "species": ["Te", "K", "F", "F", "F"],
  "frac_coords": [[0.5000, 0.5000, 0.5000], [0.0000, 0.0000, 0.0000], [0.5000, 0.0000, 0.0000], [0.0000, 0.5000, 0.0000], [0.0000, 0.0000, 0.5000]]
}


Quick look at relative energies in meV/atom: 1 0; 2 764.


1.
{
  "formula": "K2TiF",
  "functional": "PBE",
  "state": "relaxed",
  "rho_g_cm3": 1.64,
  "dos_at_fermi_per_ev_atom": 0.001,
  "magnetic_moment_mub_per_fu": 3.000,
  "space_group": "Fm-3m",
  "lattice_angstrom": [[-1.6074, 2.4652, 5.1336], [1.3803, 5.6414, 1.1335], [-4.2448, 4.1215, 0.1021]],
  "species": ["K", "K", "F", "Ti"],
  "frac_coords": [[0.7500, 0.7500, 0.7500], [0.2500, 0.2500, 0.2500], [0.0000, 0.0000, 0.0000], [0.5000, 0.5000, 0.5000]]
}


2.
{
  "formula": "K2TiF",
  "functional": "PBE",
  "state": "relaxed",
  "rho_g_cm3": 1.60,
  "dos_at_fermi_per_ev_atom": 0.426,
  "magnetic_moment_mub_per_fu": 3.105,
  "space_group": "I-42d",
  "lattice_angstrom": [[7.8165, 0.0000, 0.0000], [0.0000, 7.8165, 0.0000], [3.9082, 3.9082, 4.9138]],
  "species": ["Ti", "Ti", "F", "F", "K", "K", "K", "K"],
  "frac_coords": [[0.7500, 0.2500, 0.5000], [0.0000, 0.0000, 0.0000], [0.2500, 0.7500, 0.5000], [0.5000, 0.5000, 0.0000], [0.4914, 0.1250, 0.2500], [0.8750, 0.7414, 0.7500], [0.2586, 0.6250, 0.2500], [0.3750, 0.5086, 0.7500]]
}


Quick look at relative energies in meV/atom: 1 446; 2 0.